Record 1
Density functional theory data (PBE) for a relaxed CaTiRe3 crystal.

N(E_F)	0.987	states/eV per atom
uncorrected energy	-32.99	eV/f.u.
V	94.0	Å³ per cell

a b c (Å): 4.5462 4.5462 4.5462
angles (deg): 90.00 90.00 90.00
Closest atoms and distances in Å follow each position.
Sites, in units of the cell vectors:
Re  0.0000  0.0000  0.5000  2 Ca 2.27
Re  0.0000  0.5000  0.0000  2 Ca 2.27
Re  0.5000  0.0000  0.0000  2 Ca 2.27
Ti  0.5000  0.5000  0.5000  12 Re 3.21
Ca  0.0000  0.0000  0.0000  6 Re 2.27

***

Record 2
Density functional theory data (PBE) for a relaxed CaTiReW2 crystal.

N(E_F)	1.562	states/eV per atom
excess energy over the best structure of this formula in the dataset	1.2613	eV/atom
V	88.7	Å³ per cell

a b c (Å): 4.5820 4.2266 4.5820
angles (deg): 90.00 90.00 90.00
Closest atoms and distances in Å follow each position.
Sites, in units of the cell vectors:
Ca  0.0000  0.0000  0.0000  2 Ti 2.11, 4 W 2.29
Ti  0.0000  0.5000  0.0000  2 Ca 2.11
W  0.5000  0.0000  0.0000  2 Ca 2.29
W  0.0000  0.0000  0.5000  2 Ca 2.29
Re  0.5000  0.5000  0.5000  8 W 3.12, 4 Ti 3.24

***

Record 3
Density functional theory data (PBE) for a relaxed CaTiReW2 crystal.

N(E_F)	1.464	states/eV per atom
excess energy over the best structure of this formula in the dataset	0.0000	eV/atom
V	104.0	Å³ per cell

a b c (Å): 4.6880 4.7325 4.6880
angles (deg): 90.00 90.00 90.00
Closest atoms and distances in Å follow each position.
Sites, in units of the cell vectors:
Re  0.0000  0.5000  0.0000  2 Ti 2.37
W  0.0000  0.0000  0.5000  2 Ti 2.34
W  0.5000  0.0000  0.0000  2 Ti 2.34
Ca  0.5000  0.5000  0.5000  4 Re 3.31, 8 W 3.33
Ti  0.0000  0.0000  0.0000  4 W 2.34, 2 Re 2.37

***

Record 4
Density functional theory data (PBE) for a relaxed Ca2TlRe crystal.

N(E_F)	1.005	states/eV per atom
excess energy over the best structure of this formula in the dataset	0.1409	eV/atom
V	95.1	Å³ per cell

a b c (Å): 4.5921 4.5900 4.5099
angles (deg): 90.00 90.00 90.00
Closest atoms and distances in Å follow each position.
Sites, in units of the cell vectors:
Tl  0.0000  0.5000  0.5000  8 Ca 3.22, 4 Re 3.25
Re  0.5000  0.0000  0.5000  8 Ca 3.22, 4 Tl 3.25
Ca  0.5000  0.5000  0.0000  4 Re 3.22, 4 Tl 3.22, 4 Ca 3.25
Ca  0.0000  0.0000  0.0000  4 Tl 3.22, 4 Re 3.22, 4 Ca 3.25

***

Record 5
Density functional theory data (PBE) for a relaxed Ca2TlRe crystal.

N(E_F)	0.802	states/eV per atom
excess energy over the best structure of this formula in the dataset	0.1015	eV/atom
V	96.3	Å³ per cell

a b c (Å): 5.5691 5.5691 3.1060
angles (deg): 90.00 90.00 90.00
Closest atoms and distances in Å follow each position.
Sites, in units of the cell vectors:
Ca  0.5000  0.5000  0.0000  2 Ca 3.11, 4 Tl 3.19, 4 Re 3.19
Ca  0.0000  0.0000  0.0000  2 Ca 3.11, 4 Tl 3.19, 4 Re 3.19
Tl  0.0000  0.5000  0.5000  2 Tl 3.11, 8 Ca 3.19
Re  0.5000  0.0000  0.5000  2 Re 3.11, 8 Ca 3.19

***

Record 6
Density functional theory data (PBE) for a relaxed Ca2TlRe2 crystal.

N(E_F)	0.897	states/eV per atom
excess energy over the best structure of this formula in the dataset	0.9120	eV/atom
V	232.8	Å³ per cell

a b c (Å): 9.2140 9.2140 2.7427
angles (deg): 90.00 90.00 90.00
Closest atoms and distances in Å follow each position.
Sites, in units of the cell vectors:
Ca  0.3724  0.8724  0.0000  2 Ca 2.74, 2 Re 2.97
Ca  0.6276  0.1276  0.0000  2 Ca 2.74, 2 Re 2.97
Ca  0.1276  0.3724  0.0000  2 Ca 2.74, 2 Re 2.97
Ca  0.8724  0.6276  0.0000  2 Ca 2.74, 2 Re 2.97
Re  0.6705  0.8295  0.5000  2 Re 2.74, 2 Ca 2.97
Re  0.3295  0.1705  0.5000  2 Re 2.74, 2 Ca 2.97
Re  0.1705  0.6705  0.5000  2 Re 2.74, 2 Ca 2.97
Re  0.8295  0.3295  0.5000  2 Re 2.74, 2 Ca 2.97
Tl  0.0000  0.0000  0.0000  2 Tl 2.74
Tl  0.5000  0.5000  0.0000  2 Tl 2.74

***

Record 7
Density functional theory data (PBE) for a relaxed Ca2TlRe2 crystal.

N(E_F)	0.954	states/eV per atom
excess energy over the best structure of this formula in the dataset	0.7422	eV/atom
V	135.4	Å³ per cell

a b c (Å): 5.8288 5.8288 5.7334
angles (deg): 59.45 59.45 90.00
Closest atoms and distances in Å follow each position.
Sites, in units of the cell vectors:
Ca  0.7500  0.2500  0.5000  4 Re 3.04
Ca  0.2500  0.7500  0.5000  4 Re 3.04
Re  0.3578  0.3578  0.2845  1 Re 2.27
Re  0.6422  0.6422  0.7155  1 Re 2.27
Tl  0.0000  0.0000  0.0000  2 Re 2.85

***

Record 8
Density functional theory data (PBE) for a relaxed CaTlRe crystal.

N(E_F)	0.840	states/eV per atom
excess energy over the best structure of this formula in the dataset	0.0585	eV/atom
V	64.9	Å³ per cell

a b c (Å): 5.6110 5.6110 5.6110
angles (deg): 149.28 133.60 56.68
Closest atoms and distances in Å follow each position.
Sites, in units of the cell vectors:
Re  0.6807  0.6807  0.0000  2 Re 2.97, 4 Tl 2.98, 5 Ca 3.18-3.19
Tl  0.3154  0.3154  0.0000  2 Tl 2.97, 4 Re 2.98, 5 Ca 3.08-3.25
Ca  0.0039  0.0039  0.0000  2 Ca 2.97, 5 Tl 3.08-3.25, 5 Re 3.18-3.19

***

Record 9
Density functional theory data (PBE) for a relaxed CaTlRe2 crystal.

N(E_F)	0.639	states/eV per atom
excess energy over the best structure of this formula in the dataset	0.0000	eV/atom
V	82.9	Å³ per cell

a b c (Å): 3.1375 3.1373 8.9853
angles (deg): 69.57 90.00 90.00
Closest atoms and distances in Å follow each position.
Sites, in units of the cell vectors:
Ca  0.5000  0.7218  0.7783  4 Ca 3.14, 4 Re 3.19, 4 Tl 3.42
Tl  0.0000  0.5296  0.4694  4 Tl 3.14, 4 Re 3.15-3.16, 4 Ca 3.42
Re  0.5000  0.2979  0.2026  4 Re 2.56
Re  0.0000  0.9506  0.0497  4 Re 2.56

***

Record 10
Density functional theory data (PBE) for a relaxed CaTlRe2 crystal.

N(E_F)	1.031	states/eV per atom
excess energy over the best structure of this formula in the dataset	0.6920	eV/atom
V	76.9	Å³ per cell

a b c (Å): 5.5947 5.5947 5.5947
angles (deg): 138.21 138.21 60.58
Closest atoms and distances in Å follow each position.
Sites, in units of the cell vectors:
Tl  0.2500  0.7500  0.5000  4 Ca 2.82, 8 Re 3.13
Ca  0.7500  0.2500  0.5000  4 Tl 2.82, 8 Re 3.13
Re  0.0000  0.0000  0.0000  4 Re 2.82, 4 Ca 3.13, 4 Tl 3.13
Re  0.5000  0.5000  0.0000  4 Re 2.82, 4 Tl 3.13, 4 Ca 3.13

***

Record 11
Density functional theory data (PBE) for a relaxed Ca2TlRe crystal.

N(E_F)	0.528	states/eV per atom
excess energy over the best structure of this formula in the dataset	0.0689	eV/atom
V	108.2	Å³ per cell

a b c (Å): 3.6437 3.6437 8.1532
angles (deg): 90.00 90.00 90.00
Closest atoms and distances in Å follow each position.
Sites, in units of the cell vectors:
Re  0.0000  0.0000  0.5517  4 Tl 2.83, 1 Ca 3.11
Tl  0.5000  0.5000  0.6968  4 Re 2.83, 1 Ca 3.08
Ca  0.5000  0.5000  0.3188  1 Tl 3.08, 4 Re 3.20
Ca  0.0000  0.0000  0.9327  1 Re 3.11, 4 Tl 3.22

***

Record 12
Density functional theory data (PBE) for a relaxed CaTlRe2 crystal.

N(E_F)	1.393	states/eV per atom
excess energy over the best structure of this formula in the dataset	0.8372	eV/atom
V	76.5	Å³ per cell

a b c (Å): 10.1254 10.1254 10.1254
angles (deg): 16.89 16.89 16.89
Closest atoms and distances in Å follow each position.
Sites, in units of the cell vectors:
Tl  0.2500  0.2500  0.2500  6 Re 2.97, 6 Tl 2.97
Re  0.9975  0.9975  0.9975  3 Tl 2.97, 6 Re 2.97, 3 Ca 3.09
Re  0.5025  0.5025  0.5025  3 Tl 2.97, 6 Re 2.97, 3 Ca 3.09
Ca  0.7500  0.7500  0.7500  6 Ca 2.97, 6 Re 3.09